i | # ScRhSeN2

A geometry-optimized ScRhSeN2 structure (PBE, the Alexandria database).

CIF file:
```
data_ScRhSeN2
_chemical_formula_sum 'Sc1 Rh1 Se1 N2'
_space_group_name_H-M_alt 'P 4/m m m'
_space_group_IT_number 123
_space_group_name_Hall '-P 4 2'
_cell_length_a 4.025
_cell_length_b 4.025
_cell_length_c 5.351
_cell_angle_alpha 90.00
_cell_angle_beta 90.00
_cell_angle_gamma 90.00
loop_
_atom_site_label
_atom_site_fract_x
_atom_site_fract_y
_atom_site_fract_z
Sc1 0.000 0.000 0.000
Rh1 0.500 0.500 0.500
Se1 0.000 0.000 0.500
N1 0.000 0.500 0.000
```

***

ii | # ScRhSeN2

A geometry-optimized ScRhSeN2 structure (PBE, the Alexandria database).

CIF file:
```
data_ScRhSeN2
_chemical_formula_sum 'Sc1 Rh1 Se1 N2'
_space_group_name_H-M_alt 'P 4/m m m'
_space_group_IT_number 123
_space_group_name_Hall '-P 4 2'
_cell_length_a 3.887
_cell_length_b 3.887
_cell_length_c 5.088
_cell_angle_alpha 90.00
_cell_angle_beta 90.00
_cell_angle_gamma 90.00
loop_
_atom_site_label
_atom_site_fract_x
_atom_site_fract_y
_atom_site_fract_z
Sc1 0.000 0.000 0.000
Rh1 0.500 0.500 0.500
Se1 0.500 0.500 0.000
N1 0.000 0.500 0.500
```

***

Quick one: most stable of them? ii

***

i | # ScRhSe2N

A geometry-optimized ScRhSe2N structure (PBE, the Alexandria database).

CIF file:
```
data_ScRhSe2N
_chemical_formula_sum 'Sc1 Rh1 Se2 N1'
_space_group_name_H-M_alt 'P 4/m m m'
_space_group_IT_number 123
_space_group_name_Hall '-P 4 2'
_cell_length_a 5.135
_cell_length_b 5.135
_cell_length_c 3.900
_cell_angle_alpha 90.00
_cell_angle_beta 90.00
_cell_angle_gamma 90.00
loop_
_atom_site_label
_atom_site_fract_x
_atom_site_fract_y
_atom_site_fract_z
Sc1 0.000 0.000 0.000
Rh1 0.500 0.500 0.500
Se1 0.000 0.500 0.000
N1 0.000 0.000 0.500
```

***

ii | # ScRhSe2N

A geometry-optimized ScRhSe2N structure (PBE, the Alexandria database).

CIF file:
```
data_ScRhSe2N
_chemical_formula_sum 'Sc1 Rh1 Se2 N1'
_space_group_name_H-M_alt 'P 4/m m m'
_space_group_IT_number 123
_space_group_name_Hall '-P 4 2'
_cell_length_a 5.091
_cell_length_b 5.091
_cell_length_c 3.672
_cell_angle_alpha 90.00
_cell_angle_beta 90.00
_cell_angle_gamma 90.00
loop_
_atom_site_label
_atom_site_fract_x
_atom_site_fract_y
_atom_site_fract_z
Sc1 0.000 0.000 0.000
Rh1 0.500 0.500 0.500
Se1 0.000 0.500 0.500
N1 0.500 0.500 0.000
```

***

Quick one: most stable of them? ii

***

i | # ScTeRhN2

A geometry-optimized ScTeRhN2 structure (PBE, the Alexandria database).

CIF file:
```
data_ScTeRhN2
_chemical_formula_sum 'Sc1 Te1 Rh1 N2'
_space_group_name_H-M_alt 'P 4/m m m'
_space_group_IT_number 123
_space_group_name_Hall '-P 4 2'
_cell_length_a 3.985
_cell_length_b 3.985
_cell_length_c 5.366
_cell_angle_alpha 90.00
_cell_angle_beta 90.00
_cell_angle_gamma 90.00
loop_
_atom_site_label
_atom_site_fract_x
_atom_site_fract_y
_atom_site_fract_z
Sc1 0.000 0.000 0.000
Te1 0.500 0.500 0.000
Rh1 0.500 0.500 0.500
N1 0.000 0.500 0.500
```

***

ii | # ScTeRhN2

A geometry-optimized ScTeRhN2 structure (PBE, the Alexandria database).

CIF file:
```
data_ScTeRhN2
_chemical_formula_sum 'Sc1 Te1 Rh1 N2'
_space_group_name_H-M_alt 'P 4/m m m'
_space_group_IT_number 123
_space_group_name_Hall '-P 4 2'
_cell_length_a 4.026
_cell_length_b 4.026
_cell_length_c 6.054
_cell_angle_alpha 90.00
_cell_angle_beta 90.00
_cell_angle_gamma 90.00
loop_
_atom_site_label
_atom_site_fract_x
_atom_site_fract_y
_atom_site_fract_z
Sc1 0.000 0.000 0.000
Te1 0.000 0.000 0.500
Rh1 0.500 0.500 0.500
N1 0.000 0.500 0.000
```

***

Quick one: most stable of them? i

***

i | # Rh2SeN

A geometry-optimized Rh2SeN structure (PBE, the Alexandria database).

CIF file:
```
data_Rh2SeN
_chemical_formula_sum 'Rh8 Se4 N4'
_space_group_name_H-M_alt 'I -4 2 d'
_space_group_IT_number 122
_space_group_name_Hall 'I -4 2bw'
_cell_length_a 4.837
_cell_length_b 4.837
_cell_length_c 11.043
_cell_angle_alpha 90.00
_cell_angle_beta 90.00
_cell_angle_gamma 90.00
loop_
_atom_site_label
_atom_site_fract_x
_atom_site_fract_y
_atom_site_fract_z
Rh1 0.156 0.250 0.125
Se1 0.000 0.000 0.500
N1 0.000 0.000 0.000
```

***

ii | # Rh2SeN

A geometry-optimized Rh2SeN structure (PBE, the Alexandria database).

CIF file:
```
data_Rh2SeN
_chemical_formula_sum 'Rh8 Se4 N4'
_space_group_name_H-M_alt 'F m -3 m'
_space_group_IT_number 225
_space_group_name_Hall '-F 4 2 3'
_cell_length_a 5.919
_cell_length_b 5.919
_cell_length_c 5.919
_cell_angle_alpha 90.00
_cell_angle_beta 90.00
_cell_angle_gamma 90.00
loop_
_atom_site_label
_atom_site_fract_x
_atom_site_fract_y
_atom_site_fract_z
Rh1 0.250 0.250 0.250
Se1 0.000 0.000 0.000
N1 0.000 0.000 0.500
```

***

Quick one: most stable of them? i

***

i | # SiRhSe2N

A geometry-optimized SiRhSe2N structure (PBE, the Alexandria database).

CIF file:
```
data_SiRhSe2N
_chemical_formula_sum 'Si1 Rh1 Se2 N1'
_space_group_name_H-M_alt 'P 4/m m m'
_space_group_IT_number 123
_space_group_name_Hall '-P 4 2'
_cell_length_a 5.009
_cell_length_b 5.009
_cell_length_c 3.217
_cell_angle_alpha 90.00
_cell_angle_beta 90.00
_cell_angle_gamma 90.00
loop_
_atom_site_label
_atom_site_fract_x
_atom_site_fract_y
_atom_site_fract_z
Si1 0.000 0.000 0.000
Rh1 0.500 0.500 0.500
Se1 0.000 0.500 0.000
N1 0.000 0.000 0.500
```

***

ii | # SiRhSe2N

A geometry-optimized SiRhSe2N structure (PBE, the Alexandria database).

CIF file:
```
data_SiRhSe2N
_chemical_formula_sum 'Si1 Rh1 Se2 N1'
_space_group_name_H-M_alt 'P 4/m m m'
_space_group_IT_number 123
_space_group_name_Hall '-P 4 2'
_cell_length_a 5.123
_cell_length_b 5.123
_cell_length_c 3.638
_cell_angle_alpha 90.00
_cell_angle_beta 90.00
_cell_angle_gamma 90.00
loop_
_atom_site_label
_atom_site_fract_x
_atom_site_fract_y
_atom_site_fract_z
Si1 0.000 0.000 0.000
Rh1 0.500 0.500 0.500
Se1 0.000 0.500 0.500
N1 0.500 0.500 0.000
```

***

Quick one: most stable of them? i

***

i | # TaRhSeN2

A geometry-optimized TaRhSeN2 structure (PBE, the Alexandria database).

CIF file:
```
data_TaRhSeN2
_chemical_formula_sum 'Ta1 Rh1 Se1 N2'
_space_group_name_H-M_alt 'P 4/m m m'
_space_group_IT_number 123
_space_group_name_Hall '-P 4 2'
_cell_length_a 3.946
_cell_length_b 3.946
_cell_length_c 5.387
_cell_angle_alpha 90.00
_cell_angle_beta 90.00
_cell_angle_gamma 90.00
loop_
_atom_site_label
_atom_site_fract_x
_atom_site_fract_y
_atom_site_fract_z
Ta1 0.000 0.000 0.000
Rh1 0.500 0.500 0.500
Se1 0.000 0.000 0.500
N1 0.000 0.500 0.000
```

***

ii | # TaRhSeN2

A geometry-optimized TaRhSeN2 structure (PBE, the Alexandria database).

CIF file:
```
data_TaRhSeN2
_chemical_formula_sum 'Ta1 Rh1 Se1 N2'
_space_group_name_H-M_alt 'P 4/m m m'
_space_group_IT_number 123
_space_group_name_Hall '-P 4 2'
_cell_length_a 3.875
_cell_length_b 3.875
_cell_length_c 4.899
_cell_angle_alpha 90.00
_cell_angle_beta 90.00
_cell_angle_gamma 90.00
loop_
_atom_site_label
_atom_site_fract_x
_atom_site_fract_y
_atom_site_fract_z
Ta1 0.000 0.000 0.000
Rh1 0.500 0.500 0.500
Se1 0.500 0.500 0.000
N1 0.000 0.500 0.500
```

***

Quick one: most stable of them? i

***

i | # TiRhSe2N

A geometry-optimized TiRhSe2N structure (PBE, the Alexandria database).

CIF file:
```
data_TiRhSe2N
_chemical_formula_sum 'Ti1 Rh1 Se2 N1'
_space_group_name_H-M_alt 'P 4/m m m'
_space_group_IT_number 123
_space_group_name_Hall '-P 4 2'
_cell_length_a 5.020
_cell_length_b 5.020
_cell_length_c 3.653
_cell_angle_alpha 90.00
_cell_angle_beta 90.00
_cell_angle_gamma 90.00
loop_
_atom_site_label
_atom_site_fract_x
_atom_site_fract_y
_atom_site_fract_z
Ti1 0.000 0.000 0.000
Rh1 0.500 0.500 0.500
Se1 0.000 0.500 0.000
N1 0.000 0.000 0.500
```

***

ii | # TiRhSe2N

A geometry-optimized TiRhSe2N structure (PBE, the Alexandria database).

CIF file:
```
data_TiRhSe2N
_chemical_formula_sum 'Ti1 Rh1 Se2 N1'
_space_group_name_H-M_alt 'P 4/m m m'
_space_group_IT_number 123
_space_group_name_Hall '-P 4 2'
_cell_length_a 5.062
_cell_length_b 5.062
_cell_length_c 3.629
_cell_angle_alpha 90.00
_cell_angle_beta 90.00
_cell_angle_gamma 90.00
loop_
_atom_site_label
_atom_site_fract_x
_atom_site_fract_y
_atom_site_fract_z
Ti1 0.000 0.000 0.000
Rh1 0.500 0.500 0.500
Se1 0.000 0.500 0.500
N1 0.500 0.500 0.000
```

***

Quick one: most stable of them? i